Entry from the Open Quantum Materials Database: a relaxed structure of RbPrSn (PBE).

```
3
Lattice="4.967 -1.476 1.833 0.671 -1.444 5.260 1.001 -5.244 1.304" Properties=species:S:1:pos:R:3 pbc="T T T"
Sn 4.979 -6.123 6.298
Rb 1.660 -2.041 2.099
Pr 0.000 0.000 0.000
```

Computed properties:
Uncorrected energy: -3.16 eV per atom
M_tot: 0.00 μB/atom


Entry from the Open Quantum Materials Database: a relaxed structure of RbPrSnTe3 (PBE).

```
12
Lattice="2.441 -8.090 0.000 2.441 8.090 0.000 0.000 0.000 12.595" Properties=species:S:1:pos:R:3 pbc="T T T"
Rb 2.441 -4.063 9.447
Rb 2.441 4.063 3.149
Te 2.441 -6.966 3.149
Te 2.441 2.117 12.109
Te 2.441 2.117 6.784
Te 2.441 -2.117 5.811
Te 2.441 -2.117 0.486
Te 2.441 6.966 9.447
Pr 0.000 0.000 6.298
Pr 0.000 0.000 0.000
Sn 2.441 0.634 9.447
Sn 2.441 -0.634 3.149
```

Computed properties:
Uncorrected energy: -4.08 eV per atom
M_tot: 0.00 μB/atom


Entry from the Open Quantum Materials Database: a relaxed structure of RbSrPr (PBE).

```
3
Lattice="3.295 1.902 5.381 -3.295 1.902 5.381 0.000 -3.805 5.381" Properties=species:S:1:pos:R:3 pbc="T T T"
Sr 0.000 0.000 12.107
Pr 0.000 0.000 0.000
Rb 0.000 0.000 4.036
```

Computed properties:
M_tot: 0.81 μB/atom
Excess energy over the best structure of this formula in the dataset: 0.000 eV per atom


Entry from the Open Quantum Materials Database: a relaxed structure of RbPrTa (PBE).

```
3
Lattice="2.264 2.283 4.492 -2.553 -0.393 4.883 2.107 -3.214 3.968" Properties=species:S:1:pos:R:3 pbc="T T T"
Rb 0.454 -0.331 3.336
Pr 0.000 0.000 0.000
Ta 1.363 -0.993 10.007
```

Computed properties:
Uncorrected energy: -3.88 eV per atom
M_tot: 1.62 μB/atom


Entry from the Open Quantum Materials Database: a relaxed structure of RbTbPrTe3 (PBE).

```
24
Lattice="12.158 0.000 0.000 0.000 4.590 0.000 0.000 0.000 16.184" Properties=species:S:1:pos:R:3 pbc="T T T"
Te 10.873 1.147 3.940
Te 1.376 1.147 6.828
Te 4.135 1.147 9.934
Te 10.214 1.147 14.342
Te 4.703 3.442 14.920
Te 1.944 3.442 1.842
Te 10.782 3.442 9.356
Te 7.455 1.147 1.264
Te 4.794 1.147 4.152
Te 7.364 3.442 12.032
Te 8.023 3.442 6.250
Te 1.285 3.442 12.244
Rb 1.810 1.147 15.084
Rb 7.889 1.147 9.192
Rb 4.269 3.442 6.992
Rb 10.348 3.442 1.100
Pr 0.804 1.147 9.961
Pr 5.275 3.442 1.869
Pr 6.883 1.147 14.315
Pr 11.354 3.442 6.223
Tb 7.865 1.147 4.326
Tb 10.372 3.442 12.418
Tb 4.293 3.442 11.858
Tb 1.786 1.147 3.766
```

Computed properties:
M_tot: 0.00 μB/atom
Excess energy over the best structure of this formula in the dataset: 0.000 eV per atom


Entry from the Open Quantum Materials Database: a relaxed structure of RbTbPrTe3 (PBE).

```
12
Lattice="-8.139 -1.213 -2.833 6.186 -2.168 5.724 -3.931 8.733 7.556" Properties=species:S:1:pos:R:3 pbc="T T T"
Te 0.603 6.259 11.806
Te -8.065 2.601 1.677
Te 2.182 2.751 8.771
Te -2.931 4.794 7.706
Te -2.952 0.559 2.741
Te -6.486 -0.906 -1.358
Rb 1.706 0.249 5.524
Rb -7.589 5.104 4.924
Tb -8.649 0.939 -0.662
Tb 2.766 4.414 11.109
Pr -0.976 -1.690 1.446
Pr -2.942 2.676 5.224
```

Computed properties:
M_tot: 0.01 μB/atom
Excess energy over the best structure of this formula in the dataset: 0.080 eV per atom


Entry from the Open Quantum Materials Database: a relaxed structure of RbTbPrTe3 (PBE).

```
12
Lattice="5.567 6.308 -2.831 -7.337 -1.755 4.679 6.026 -1.297 8.963" Properties=species:S:1:pos:R:3 pbc="T T T"
Pr 6.908 5.881 -0.494
Pr -2.652 -2.624 11.305
Te -3.096 -1.440 7.964
Te 9.900 4.149 6.636
Te 4.943 2.122 6.885
Te -5.643 -0.892 4.175
Te -0.686 1.135 3.926
Te 7.353 4.697 2.847
Rb 3.580 3.801 1.443
Rb 0.677 -0.544 9.368
Tb 2.128 1.628 5.406
Tb -0.885 2.277 0.924
```

Computed properties:
M_tot: 0.09 μB/atom
Excess energy over the best structure of this formula in the dataset: 0.117 eV per atom


Entry from the Open Quantum Materials Database: a relaxed structure of RbPrTh (PBE).

```
3
Lattice="0.000 4.081 4.081 4.081 0.000 4.081 4.081 4.081 0.000" Properties=species:S:1:pos:R:3 pbc="T T T"
Th 6.121 6.121 6.121
Rb 2.040 2.040 2.040
Pr 0.000 0.000 0.000
```

Computed properties:
Uncorrected energy: -2.98 eV per atom
M_tot: 0.63 μB/atom


Entry from the Open Quantum Materials Database: a relaxed structure of RbPrTl (PBE).

```
3
Lattice="0.000 4.019 4.019 4.019 0.000 4.019 4.019 4.019 0.000" Properties=species:S:1:pos:R:3 pbc="T T T"
Tl 0.000 0.000 0.000
Pr 2.010 2.010 2.010
Rb 6.029 6.029 6.029
```

Computed properties:
M_tot: 0.00 μB/atom
Excess energy over the best structure of this formula in the dataset: 0.000 eV per atom


Entry from the Open Quantum Materials Database: a relaxed structure of RbPrW (PBE).

```
3
Lattice="2.682 -3.313 3.165 -2.187 -4.604 1.487 1.878 -4.576 -1.928" Properties=species:S:1:pos:R:3 pbc="T T T"
Pr 0.000 0.000 0.000
W 1.779 -9.370 2.043
Rb 0.593 -3.123 0.681
```

Computed properties:
Uncorrected energy: -4.07 eV per atom
M_tot: 1.24 μB/atom


Entry from the Open Quantum Materials Database: a relaxed structure of RbPrY (PBE).

```
3
Lattice="-5.974 -1.034 0.672 -4.045 3.378 -3.072 -3.199 -2.476 -4.566" Properties=species:S:1:pos:R:3 pbc="T T T"
Rb 0.000 0.000 0.000
Pr -6.609 -0.066 -3.483
Y -3.305 -0.033 -1.742
```

Computed properties:
Uncorrected energy: -2.89 eV per atom
M_tot: 0.77 μB/atom


Entry from the Open Quantum Materials Database: a relaxed structure of Rb4Pr2Zn3 (PBE).

```
9
Lattice="-8.177 -5.914 -1.483 2.263 -2.984 -0.578 3.856 1.110 9.379" Properties=species:S:1:pos:R:3 pbc="T T T"
Rb -5.600 -4.077 -0.879
Rb -5.440 -5.071 4.886
Rb -4.167 -3.574 2.138
Rb -1.459 -1.572 2.405
Zn 2.216 -2.270 7.979
Zn -1.295 -4.413 5.295
Zn 2.008 -1.490 3.133
Pr 1.132 -1.492 -0.289
Pr -0.155 -1.232 5.758
```

Computed properties:
Uncorrected energy: -1.47 eV per atom
M_tot: 0.07 μB/atom


Entry from the Open Quantum Materials Database: a relaxed structure of RbPrZn (PBE).

```
3
Lattice="2.735 1.579 4.466 -2.735 1.579 4.466 0.000 -3.158 4.466" Properties=species:S:1:pos:R:3 pbc="T T T"
Pr 0.000 0.000 10.049
Rb 0.000 0.000 3.350
Zn 0.000 0.000 0.000
```

Computed properties:
M_tot: 0.01 μB/atom
Excess energy over the best structure of this formula in the dataset: 0.000 eV per atom


Entry from the Open Quantum Materials Database: a relaxed structure of RbPrZr (PBE).

```
3
Lattice="-0.516 -0.670 5.811 -5.317 -0.021 2.492 -2.193 -4.985 2.197" Properties=species:S:1:pos:R:3 pbc="T T T"
Pr -2.007 -1.419 2.625
Rb -6.020 -4.258 7.875
Zr 0.000 0.000 0.000
```

Computed properties:
Uncorrected energy: -3.33 eV per atom
M_tot: 1.91 μB/atom


Entry from the Open Quantum Materials Database: a relaxed structure of PrRe (PBE).

```
2
Lattice="-0.408 2.843 -0.842 -1.429 -1.068 2.405 4.201 1.545 3.182" Properties=species:S:1:pos:R:3 pbc="T T T"
Re -0.038 0.622 2.118
Pr 2.402 2.698 2.626
```

Computed properties:
M_tot: 0.00 μB/atom
Formation energy from the elements: 2.20 eV per formula unit
Excess energy over the best structure of this formula in the dataset: 0.000 eV per atom


Entry from the Open Quantum Materials Database: a relaxed structure of PrRe (PBE).

```
2
Lattice="1.739 -3.442 1.746 -1.405 -3.851 -1.058 2.420 -2.568 -2.339" Properties=species:S:1:pos:R:3 pbc="T T T"
Pr 0.000 0.000 0.000
Re 1.377 -4.930 -0.826
```

Computed properties:
M_tot: 1.01 μB/atom
Formation energy from the elements: 3.05 eV per formula unit
Excess energy over the best structure of this formula in the dataset: 0.423 eV per atom


Entry from the Open Quantum Materials Database: a relaxed structure of PrRe (PBE).

```
2
Lattice="0.000 3.224 3.224 3.224 0.000 3.224 3.224 3.224 0.000" Properties=species:S:1:pos:R:3 pbc="T T T"
Re 1.612 1.612 1.612
Pr 0.000 0.000 0.000
```

Computed properties:
M_tot: 1.00 μB/atom
Formation energy from the elements: 4.59 eV per formula unit
Excess energy over the best structure of this formula in the dataset: 1.192 eV per atom


Entry from the Open Quantum Materials Database: a relaxed structure of Pr2Re (PBE).

```
3
Lattice="4.233 -1.211 2.272 0.431 -4.388 2.260 2.931 -3.500 -1.924" Properties=species:S:1:pos:R:3 pbc="T T T"
Pr 1.899 -2.275 0.652
Pr 5.697 -6.824 1.956
Re 0.000 0.000 0.000
```

Computed properties:
M_tot: 0.00 μB/atom
Formation energy from the elements: 1.22 eV per formula unit
Excess energy over the best structure of this formula in the dataset: 0.000 eV per atom


Entry from the Open Quantum Materials Database: a relaxed structure of Pr2Re (PBE).

```
6
Lattice="0.000 4.271 4.271 4.271 0.000 4.271 4.271 4.271 0.000" Properties=species:S:1:pos:R:3 pbc="T T T"
Pr 3.203 3.203 5.339
Pr 5.339 5.339 5.339
Pr 5.339 3.203 3.203
Pr 3.203 5.339 3.203
Re 0.000 0.000 0.000
Re 2.135 2.135 2.135
```

Computed properties:
M_tot: 0.08 μB/atom
Formation energy from the elements: 4.65 eV per formula unit
Excess energy over the best structure of this formula in the dataset: 1.142 eV per atom


Entry from the Open Quantum Materials Database: a relaxed structure of PrReSb (PBE).

```
3
Lattice="0.000 3.410 3.410 3.410 0.000 3.410 3.410 3.410 0.000" Properties=species:S:1:pos:R:3 pbc="T T T"
Pr 5.115 5.115 5.115
Sb 0.000 0.000 0.000
Re 1.705 1.705 1.705
```

Computed properties:
M_tot: 0.47 μB/atom
Excess energy over the best structure of this formula in the dataset: 0.000 eV per atom


Entry from the Open Quantum Materials Database: a relaxed structure of PrReSb (PBE).

```
3
Lattice="-1.090 1.284 4.688 -4.652 -0.513 1.706 -1.044 -3.519 3.368" Properties=species:S:1:pos:R:3 pbc="T T T"
Sb -5.089 -2.060 7.321
Pr 0.000 0.000 0.000
Re -1.696 -0.687 2.440
```

Computed properties:
M_tot: 0.57 μB/atom
Excess energy over the best structure of this formula in the dataset: 0.622 eV per atom


Entry from the Open Quantum Materials Database: a relaxed structure of PrScRe (PBE).

```
3
Lattice="4.316 1.318 1.249 1.241 -0.025 4.515 3.056 -3.181 1.571" Properties=species:S:1:pos:R:3 pbc="T T T"
Pr 2.153 -0.472 1.834
Sc 0.000 0.000 0.000
Re 6.460 -1.416 5.501
```

Computed properties:
M_tot: 0.00 μB/atom
Formation energy from the elements: 2.90 eV per formula unit


Entry from the Open Quantum Materials Database: a relaxed structure of PrRe4SiSn (PBE).

```
7
Lattice="-0.980 -4.083 -0.185 -6.873 1.502 3.257 -7.477 1.837 -0.913" Properties=species:S:1:pos:R:3 pbc="T T T"
Re -2.753 0.641 0.450
Re -11.401 2.653 1.862
Re -4.676 -1.067 0.591
Re -10.457 0.278 1.535
Si -8.573 1.995 1.400
Pr -0.681 -1.997 -0.061
Sn -5.978 1.391 0.977
```

Computed properties:
Uncorrected energy: -9.38 eV per atom
M_tot: 0.00 μB/atom


Entry from the Open Quantum Materials Database: a relaxed structure of PrSmRe (PBE).

```
3
Lattice="0.000 3.445 3.445 3.445 0.000 3.445 3.445 3.445 0.000" Properties=species:S:1:pos:R:3 pbc="T T T"
Re 5.167 5.167 5.167
Sm 0.000 0.000 0.000
Pr 1.722 1.722 1.722
```

Computed properties:
M_tot: 0.14 μB/atom
Formation energy from the elements: 3.48 eV per formula unit


Entry from the Open Quantum Materials Database: a relaxed structure of PrReTe (PBE).

```
3
Lattice="0.576 -3.740 3.360 -3.094 -4.003 -0.115 1.747 -4.505 -1.504" Properties=species:S:1:pos:R:3 pbc="T T T"
Pr 0.000 0.000 0.000
Re -0.193 -3.062 0.435
Te -0.578 -9.186 1.306
```

Computed properties:
Uncorrected energy: -5.69 eV per atom
M_tot: 0.79 μB/atom


Entry from the Open Quantum Materials Database: a relaxed structure of PrThRe (PBE).

```
3
Lattice="1.471 -1.250 4.578 -0.533 3.220 3.746 -3.373 -0.852 3.547" Properties=species:S:1:pos:R:3 pbc="T T T"
Pr -1.826 0.838 8.904
Th -0.609 0.279 2.968
Re 0.000 0.000 0.000
```

Computed properties:
M_tot: 0.00 μB/atom
Formation energy from the elements: 0.70 eV per formula unit
Excess energy over the best structure of this formula in the dataset: 0.000 eV per atom


Entry from the Open Quantum Materials Database: a relaxed structure of PrTlRe (PBE).

```
3
Lattice="0.000 3.429 3.429 3.429 0.000 3.429 3.429 3.429 0.000" Properties=species:S:1:pos:R:3 pbc="T T T"
Pr 1.714 1.714 1.714
Tl 0.000 0.000 0.000
Re 5.143 5.143 5.143
```

Computed properties:
M_tot: 0.18 μB/atom
Excess energy over the best structure of this formula in the dataset: 0.000 eV per atom


Entry from the Open Quantum Materials Database: a relaxed structure of PrTlRe (PBE).

```
3
Lattice="0.000 3.525 3.525 3.525 0.000 3.525 3.525 3.525 0.000" Properties=species:S:1:pos:R:3 pbc="T T T"
Tl 5.287 5.287 5.287
Pr 0.000 0.000 0.000
Re 1.762 1.762 1.762
```

Computed properties:
M_tot: 0.36 μB/atom
Excess energy over the best structure of this formula in the dataset: 0.358 eV per atom


Entry from the Open Quantum Materials Database: a relaxed structure of PrZrRe (PBE).

```
3
Lattice="0.201 -3.558 -3.089 -3.792 -1.102 -2.577 -0.045 0.892 -4.630" Properties=species:S:1:pos:R:3 pbc="T T T"
Pr -0.909 -0.942 -2.574
Re -2.726 -2.826 -7.722
Zr 0.000 0.000 0.000
```

Computed properties:
M_tot: 0.00 μB/atom
Formation energy from the elements: 2.61 eV per formula unit